# 1
{
  "formula": "Ba2NpCoS6",
  "functional": "PBE",
  "state": "relaxed",
  "cell": [[-5.5095, -3.8665, 1.4257], [0.1344, -4.3473, 5.3310], [-5.8567, 5.5989, 9.1531]],
  "species": ["S", "S", "S", "S", "S", "S", "S", "S", "S", "S", "S", "S", "Np", "Np", "Co", "Co", "Ba", "Ba", "Ba", "Ba"],
  "frac_coords": [[0.1966, 0.1966, 0.8821], [0.2753, 0.8034, 0.1179], [0.3764, 0.8600, 0.3872], [0.6236, 0.6236, 0.6128], [0.3764, 0.3764, 0.3872], [0.7247, 0.1966, 0.8821], [0.8034, 0.8034, 0.1179], [0.1966, 0.7247, 0.8821], [0.1400, 0.6236, 0.6128], [0.6236, 0.1400, 0.6128], [0.8034, 0.2753, 0.1179], [0.8600, 0.3764, 0.3872], [0.4131, 0.4131, 0.7607], [0.5869, 0.5869, 0.2393], [0.0000, 0.0000, 0.0000], [0.5000, 0.5000, 0.5000], [0.8731, 0.8731, 0.3806], [0.1269, 0.1269, 0.6194], [0.2950, 0.2950, 0.1149], [0.7050, 0.7050, 0.8851]],
  "vol_a3_per_cell": 474,
  "spacegroup": "R-3m",
  "dos_ef_per_ev_atom": 0.51,
  "e_tot_ev_per_atom": -6.19
}

---

# 2
{
  "formula": "Pm7Nd2Th2",
  "functional": "PBE",
  "state": "relaxed",
  "cell": [[5.8926, 1.1204, 1.6168], [0.4055, 8.0223, 1.3082], [0.4055, -1.5923, 7.9708]],
  "species": ["Pm", "Pm", "Pm", "Pm", "Pm", "Pm", "Pm", "Nd", "Nd", "Th", "Th"],
  "frac_coords": [[0.5835, 0.7573, 0.7573], [0.4165, 0.2427, 0.2427], [0.0000, 0.0000, 0.0000], [0.8352, 0.9330, 0.4113], [0.1648, 0.0670, 0.5887], [0.8352, 0.4113, 0.9330], [0.1648, 0.5887, 0.0670], [0.5000, 0.2203, 0.7797], [0.5000, 0.7797, 0.2203], [0.1928, 0.5838, 0.5838], [0.8072, 0.4162, 0.4162]],
  "vol_a3_per_cell": 380,
  "spacegroup": "C2/m",
  "dos_ef_per_ev_atom": 1.56,
  "delta_e_f_ev_per_atom": 0.178,
  "e_tot_ev_per_atom": -5.06
}

---

# 3
{
  "formula": "LiPrSm2",
  "functional": "PBE",
  "state": "relaxed",
  "cell": [[3.7286, 0.0000, 0.0000], [0.0000, 3.7286, 0.0000], [0.0000, 0.0000, 8.9196]],
  "species": ["Li", "Sm", "Sm", "Pr"],
  "frac_coords": [[0.5000, 0.5000, 0.0000], [0.0000, 0.0000, 0.7820], [0.0000, 0.0000, 0.2180], [0.5000, 0.5000, 0.5000]],
  "vol_a3_per_cell": 124,
  "spacegroup": "P4/mmm",
  "dos_ef_per_ev_atom": 1.63,
  "delta_e_f_ev_per_atom": 0.071,
  "e_tot_ev_per_atom": -3.96
}

---

# 4
{
  "formula": "CrNiAs",
  "functional": "PBE",
  "state": "relaxed",
  "cell": [[3.6674, 0.0000, 0.0000], [0.0000, 6.1844, 0.0133], [0.0000, 0.0423, 10.6682]],
  "species": ["Ni", "Ni", "Ni", "Ni", "Ni", "Ni", "As", "As", "As", "As", "As", "As", "Cr", "Cr", "Cr", "Cr", "Cr", "Cr"],
  "frac_coords": [[0.2500, 0.9975, 0.0894], [0.2500, 0.3703, 0.2068], [0.7500, 0.6297, 0.7932], [0.7500, 0.0025, 0.9106], [0.2500, 0.8613, 0.4588], [0.7500, 0.1387, 0.5412], [0.7500, 0.7520, 0.5847], [0.7500, 0.2491, 0.0816], [0.2500, 0.7407, 0.2506], [0.2500, 0.2480, 0.4153], [0.2500, 0.7509, 0.9184], [0.7500, 0.2593, 0.7494], [0.2500, 0.9635, 0.7124], [0.2500, 0.4618, 0.6166], [0.7500, 0.0365, 0.2876], [0.7500, 0.5382, 0.3834], [0.2500, 0.3488, 0.9190], [0.7500, 0.6512, 0.0810]],
  "vol_a3_per_cell": 242,
  "spacegroup": "P2_1/m",
  "dos_ef_per_ev_atom": 0.31,
  "delta_e_f_ev_per_atom": -0.236,
  "e_tot_ev_per_atom": -6.92
}

---

# 5
{
  "formula": "BrCl2F",
  "functional": "PBE",
  "state": "relaxed",
  "cell": [[-1.7482, -2.1610, 3.8079], [-3.9855, -2.4968, -0.3283], [0.1320, -4.7024, 0.3103]],
  "species": ["Cl", "Cl", "F", "Br"],
  "frac_coords": [[0.2500, 0.2500, 0.2500], [0.7500, 0.7500, 0.7500], [0.0000, 0.0000, 0.0000], [0.5000, 0.5000, 0.5000]],
  "vol_a3_per_cell": 74,
  "spacegroup": "Fm-3m",
  "dos_ef_per_ev_atom": 0.50,
  "e_tot_ev_per_atom": -1.26
}

---

# 6
{
  "formula": "Dy3PtSe3",
  "functional": "PBE",
  "state": "relaxed",
  "cell": [[-3.4107, 5.9043, 4.9777], [1.5609, -0.0572, 8.2965], [3.9953, 5.3250, 3.5804]],
  "species": ["Pt", "Pt", "Se", "Se", "Se", "Se", "Se", "Se", "Dy", "Dy", "Dy", "Dy", "Dy", "Dy"],
  "frac_coords": [[0.6512, 0.6512, 0.0463], [0.3488, 0.3488, 0.9537], [0.7901, 0.1261, 0.7259], [0.3579, 0.7901, 0.7259], [0.8739, 0.6421, 0.2741], [0.6421, 0.2099, 0.2741], [0.2099, 0.8739, 0.2741], [0.1261, 0.3579, 0.7259], [0.0326, 0.7260, 0.7708], [0.2740, 0.5295, 0.2292], [0.5295, 0.9674, 0.2292], [0.4705, 0.0326, 0.7708], [0.7260, 0.4705, 0.7708], [0.9674, 0.2740, 0.2292]],
  "vol_a3_per_cell": 357,
  "spacegroup": "R-3",
  "dos_ef_per_ev_atom": 0.38,
  "e_tot_ev_per_atom": -5.89
}

---

# 7
{
  "formula": "CaPmPb",
  "functional": "PBE",
  "state": "relaxed",
  "cell": [[4.8418, -0.2335, -0.0333], [0.2332, 4.8421, -0.0340], [0.0577, 0.0533, 8.5973]],
  "species": ["Pm", "Pm", "Pb", "Pb", "Ca", "Ca"],
  "frac_coords": [[0.3135, 0.8665, 0.9196], [0.8137, 0.3664, 0.9196], [0.8138, 0.8667, 0.1845], [0.3134, 0.3662, 0.6547], [0.8135, 0.8664, 0.5631], [0.3136, 0.3665, 0.2761]],
  "vol_a3_per_cell": 202,
  "spacegroup": "P4/nmm",
  "dos_ef_per_ev_atom": 0.66,
  "delta_e_f_ev_per_atom": -0.412,
  "e_tot_ev_per_atom": -3.90
}

---

# 8
{
  "formula": "PtSe2BrF",
  "functional": "PBE",
  "state": "relaxed",
  "cell": [[4.8989, 0.0000, 0.0000], [0.0000, 4.8989, 0.0000], [0.0000, 0.0000, 5.2064]],
  "species": ["Se", "Se", "Br", "F", "Pt"],
  "frac_coords": [[0.5000, 0.0000, 0.0000], [0.0000, 0.5000, 0.0000], [0.0000, 0.0000, 0.5000], [0.5000, 0.5000, 0.5000], [0.0000, 0.0000, 0.0000]],
  "vol_a3_per_cell": 125,
  "spacegroup": "P4/mmm",
  "dos_ef_per_ev_atom": 1.64,
  "e_tot_ev_per_atom": -3.00
}

---

# 9
{
  "formula": "SbIr",
  "functional": "PBE",
  "state": "relaxed",
  "cell": [[11.2548, 0.0000, 0.0000], [0.0000, 11.2548, 0.0000], [0.0000, 0.0000, 3.8063]],
  "species": ["Ir", "Ir", "Ir", "Ir", "Ir", "Ir", "Ir", "Ir", "Sb", "Sb", "Sb", "Sb", "Sb", "Sb", "Sb", "Sb"],
  "frac_coords": [[0.1096, 0.4506, 0.0000], [0.2041, 0.6039, 0.5000], [0.7959, 0.3961, 0.5000], [0.3961, 0.2041, 0.5000], [0.5494, 0.1096, 0.0000], [0.4506, 0.8904, 0.0000], [0.8904, 0.5494, 0.0000], [0.6039, 0.7959, 0.5000], [0.2435, 0.3702, 0.5000], [0.6936, 0.9259, 0.0000], [0.3064, 0.0741, 0.0000], [0.0741, 0.6936, 0.0000], [0.3702, 0.7565, 0.5000], [0.6298, 0.2435, 0.5000], [0.7565, 0.6298, 0.5000], [0.9259, 0.3064, 0.0000]],
  "vol_a3_per_cell": 482,
  "spacegroup": "P4/m",
  "dos_ef_per_ev_atom": 0.55,
  "e_tot_ev_per_atom": -6.35
}

---

# 10
{
  "formula": "Sc2Hg9Pb",
  "functional": "PBE",
  "state": "relaxed",
  "cell": [[4.5243, 0.0000, 0.0000], [0.0000, 4.5240, 0.0000], [0.0000, 0.0000, 13.9383]],
  "species": ["Hg", "Hg", "Hg", "Hg", "Hg", "Hg", "Hg", "Hg", "Hg", "Pb", "Sc", "Sc"],
  "frac_coords": [[0.5000, 0.0000, 0.5000], [0.5000, 0.5000, 0.3449], [0.5000, 0.0000, 0.1842], [0.0000, 0.5000, 0.8158], [0.0000, 0.5000, 0.1842], [0.5000, 0.5000, 0.6551], [0.5000, 0.0000, 0.8158], [0.5000, 0.5000, 0.0000], [0.0000, 0.5000, 0.5000], [0.0000, 0.0000, 0.0000], [0.0000, 0.0000, 0.3361], [0.0000, 0.0000, 0.6639]],
  "vol_a3_per_cell": 285,
  "spacegroup": "P4/mmm",
  "dos_ef_per_ev_atom": 0.73,
  "delta_e_f_ev_per_atom": -0.123,
  "e_tot_ev_per_atom": -1.71
}

---

# 11
{
  "formula": "V2CuRh2",
  "functional": "PBE",
  "state": "relaxed",
  "cell": [[-2.3293, -1.8724, 6.5596], [4.3256, -5.7651, -0.1096], [2.0261, 1.4984, 1.1472]],
  "species": ["V", "V", "V", "V", "Rh", "Rh", "Rh", "Rh", "Cu", "Cu"],
  "frac_coords": [[0.1624, 0.6624, 0.5000], [0.8376, 0.3376, 0.5000], [0.3376, 0.1624, 0.5000], [0.6624, 0.8376, 0.5000], [0.3632, 0.8632, 0.0000], [0.1368, 0.3632, 0.0000], [0.8632, 0.6368, 0.0000], [0.6368, 0.1368, 0.0000], [0.5000, 0.5000, 0.0000], [0.0000, 0.0000, 0.0000]],
  "vol_a3_per_cell": 144,
  "spacegroup": "P4/mbm",
  "dos_ef_per_ev_atom": 1.01,
  "delta_e_f_ev_per_atom": -0.126,
  "e_tot_ev_per_atom": -7.53
}

---

# 12
{
  "formula": "BaLaSe2",
  "functional": "PBE",
  "state": "relaxed",
  "cell": [[2.6174, 0.0000, 9.3459], [-1.3087, 2.2667, 9.3459], [-1.3087, -2.2667, 9.3459]],
  "species": ["La", "Ba", "Se", "Se"],
  "frac_coords": [[0.5000, 0.5000, 0.5000], [0.0000, 0.0000, 0.0000], [0.1119, 0.1119, 0.1119], [0.8881, 0.8881, 0.8881]],
  "vol_a3_per_cell": 166,
  "spacegroup": "R-3m",
  "dos_ef_per_ev_atom": 0.24,
  "e_tot_ev_per_atom": -5.08
}